1.
An optimized crystal structure of Sm6TlCd. Source: Alexandria via LeMat-Bulk, functional PBE.

## Properties
total magnetic moment = 1.572 μB per cell
symmetry = P4/mmm
DOS(E_F) = 1.399 states/eV per atom

extended XYZ file:
```
8
Lattice="4.941 0.000 0.000 0.000 4.941 0.000 0.000 0.000 9.857" Properties=species:S:1:pos:R:3 pbc="T T T"
Sm 0.000 0.000 0.000
Sm 0.000 0.000 4.928
Sm 0.000 2.470 2.455
Sm 0.000 2.470 7.402
Sm 2.470 0.000 2.455
Sm 2.470 0.000 7.402
Tl 2.470 2.470 4.928
Cd 2.470 2.470 0.000
```

2.
An optimized crystal structure of Sm6TlCd. Source: Alexandria via LeMat-Bulk, functional PBE.

## Properties
total magnetic moment = 0.000 μB per cell
symmetry = I4/mmm
DOS(E_F) = 1.129 states/eV per atom

extended XYZ file:
```
8
Lattice="-2.586 2.586 9.303 2.586 -2.586 9.303 2.586 2.586 -9.303" Properties=species:S:1:pos:R:3 pbc="T T T"
Sm 2.586 0.000 2.112
Sm 0.000 0.000 4.637
Sm 2.586 0.000 7.190
Sm 0.000 2.586 2.112
Sm 0.000 0.000 13.968
Sm 0.000 2.586 7.190
Tl 0.000 0.000 9.303
Cd 0.000 0.000 0.000
```

Most stable to least stable, the ends of the list are 2 and 1.

1.
An optimized crystal structure of Sm4Tl2Cd. Source: Alexandria via LeMat-Bulk, functional PBE.

## Properties
total magnetic moment = 0.002 μB per cell
symmetry = R-3m
DOS(E_F) = 1.179 states/eV per atom

extended XYZ file:
```
7
Lattice="2.688 1.552 8.625 -2.688 1.552 8.625 0.000 -3.104 8.625" Properties=species:S:1:pos:R:3 pbc="T T T"
Sm 0.000 0.000 3.073
Sm 0.000 0.000 9.600
Sm 0.000 0.000 16.274
Sm 0.000 0.000 22.802
Tl 0.000 0.000 6.398
Tl 0.000 0.000 19.476
Cd 0.000 0.000 12.937
```

2.
An optimized crystal structure of Sm4Tl2Cd. Source: Alexandria via LeMat-Bulk, functional PBE.

## Properties
total magnetic moment = 0.000 μB per cell
symmetry = P2_1/m
DOS(E_F) = 1.088 states/eV per atom

extended XYZ file:
```
14
Lattice="7.460 0.000 0.000 0.000 6.707 0.000 -3.266 0.000 8.641" Properties=species:S:1:pos:R:3 pbc="T T T"
Sm 0.428 1.677 0.426
Sm -1.129 0.043 6.256
Sm -1.129 3.310 6.256
Sm 1.286 5.030 2.961
Sm 2.907 1.677 5.680
Sm 5.323 3.397 2.384
Sm 5.323 6.663 2.384
Sm 3.765 5.030 8.214
Tl 0.188 1.677 3.790
Tl 3.126 5.030 0.339
Tl 1.067 1.677 8.302
Tl 4.006 5.030 4.851
Cd 2.771 1.677 2.482
Cd 1.422 5.030 6.159
```

Most stable to least stable, the ends of the list are 1 and 2.

1.
An optimized crystal structure of Sm4Tl3Cd. Source: Alexandria via LeMat-Bulk, functional PBE.

## Properties
total magnetic moment = 0.057 μB per cell
symmetry = Pmm2
DOS(E_F) = 0.922 states/eV per atom

extended XYZ file:
```
8
Lattice="3.909 0.000 0.000 0.000 4.941 0.000 0.000 0.000 12.241" Properties=species:S:1:pos:R:3 pbc="T T T"
Sm 0.000 0.000 0.000
Sm 0.000 2.470 3.654
Sm 1.955 0.000 6.051
Sm 1.955 2.470 9.770
Tl 0.000 0.000 8.985
Tl 0.000 2.470 6.891
Tl 1.955 2.470 0.819
Cd 1.955 0.000 2.772
```

2.
An optimized crystal structure of Sm4Tl3Cd. Source: Alexandria via LeMat-Bulk, functional PBE.

## Properties
total magnetic moment = 0.001 μB per cell
symmetry = Fmmm
DOS(E_F) = 1.235 states/eV per atom

extended XYZ file:
```
8
Lattice="0.000 3.847 7.733 3.842 0.000 7.733 3.842 3.847 0.000" Properties=species:S:1:pos:R:3 pbc="T T T"
Sm 1.921 1.924 1.914
Sm 1.921 1.924 5.819
Sm 5.762 5.771 9.647
Sm 5.762 5.771 13.552
Tl 0.000 0.000 0.000
Tl 3.842 3.847 3.906
Tl 3.842 3.847 11.560
Cd 3.842 3.847 7.733
```

Most stable to least stable, the ends of the list are 2 and 1.

1.
An optimized crystal structure of SmTl2Cd. Source: Alexandria via LeMat-Bulk, functional PBE.

## Properties
total magnetic moment = 0.000 μB per cell
symmetry = P4/mmm
DOS(E_F) = 0.674 states/eV per atom

extended XYZ file:
```
4
Lattice="4.782 0.000 0.000 0.000 4.782 0.000 0.000 0.000 4.636" Properties=species:S:1:pos:R:3 pbc="T T T"
Sm 0.000 0.000 0.000
Tl 0.000 2.391 2.318
Tl 2.391 0.000 2.318
Cd 2.391 2.391 0.000
```

2.
An optimized crystal structure of SmTl2Cd. Source: Alexandria via LeMat-Bulk, functional PBE.

## Properties
total magnetic moment = 0.000 μB per cell
symmetry = Fm-3m
DOS(E_F) = 0.678 states/eV per atom

extended XYZ file:
```
4
Lattice="0.000 3.779 3.779 3.779 0.000 3.779 3.779 3.779 0.000" Properties=species:S:1:pos:R:3 pbc="T T T"
Sm 0.000 0.000 0.000
Tl 1.889 1.889 1.889
Tl 5.668 5.668 5.668
Cd 3.779 3.779 3.779
```

Most stable to least stable, the ends of the list are 1 and 2.

1.
An optimized crystal structure of SmTl2Cd. Source: Alexandria via LeMat-Bulk, functional PBE.

## Properties
total magnetic moment = 0.000 μB per cell
symmetry = P4/mmm
DOS(E_F) = 0.762 states/eV per atom

extended XYZ file:
```
4
Lattice="3.741 0.000 0.000 0.000 3.741 0.000 0.000 0.000 7.727" Properties=species:S:1:pos:R:3 pbc="T T T"
Sm 0.000 0.000 0.000
Tl 1.871 1.871 2.067
Tl 1.871 1.871 5.660
Cd 0.000 0.000 3.863
```

2.
An optimized crystal structure of SmTl2Cd. Source: Alexandria via LeMat-Bulk, functional PBE.

## Properties
total magnetic moment = 0.000 μB per cell
symmetry = R-3m
DOS(E_F) = 0.440 states/eV per atom

extended XYZ file:
```
4
Lattice="2.458 1.419 5.237 -2.458 1.419 5.237 0.000 -2.838 5.237" Properties=species:S:1:pos:R:3 pbc="T T T"
Sm 0.000 0.000 0.000
Tl 0.000 0.000 3.727
Tl 0.000 0.000 11.984
Cd 0.000 0.000 7.855
```

Most stable to least stable, the ends of the list are 2 and 1.

1.
An optimized crystal structure of Sm6Tl5Cd. Source: Alexandria via LeMat-Bulk, functional PBE.

## Properties
total magnetic moment = 0.000 μB per cell
symmetry = C2/m
DOS(E_F) = 0.906 states/eV per atom

extended XYZ file:
```
12
Lattice="5.007 -5.776 0.000 5.007 5.776 0.000 -1.488 0.000 6.405" Properties=species:S:1:pos:R:3 pbc="T T T"
Sm 1.376 1.914 4.803
Sm 2.125 0.000 1.568
Sm 1.376 -1.914 4.803
Sm 7.149 1.914 1.602
Sm 6.400 0.000 4.837
Sm 7.149 -1.914 1.602
Tl -0.744 0.000 3.203
Tl 5.007 3.801 0.000
Tl 4.263 1.887 3.203
Tl 4.263 -1.887 3.203
Tl 5.007 -3.801 0.000
Cd 5.007 0.000 0.000
```

2.
An optimized crystal structure of Sm6Tl5Cd. Source: Alexandria via LeMat-Bulk, functional PBE.

## Properties
total magnetic moment = 0.001 μB per cell
symmetry = Cmmm
DOS(E_F) = 0.972 states/eV per atom

extended XYZ file:
```
12
Lattice="2.734 -8.198 0.000 2.734 8.198 0.000 0.000 0.000 7.670" Properties=species:S:1:pos:R:3 pbc="T T T"
Sm 0.000 0.000 1.911
Sm 0.000 0.000 5.759
Sm 2.734 2.730 1.903
Sm 2.734 2.730 5.766
Sm 2.734 -2.730 1.903
Sm 2.734 -2.730 5.766
Tl 2.734 5.528 0.000
Tl 2.734 5.463 3.835
Tl 2.734 0.000 3.835
Tl 2.734 -5.463 3.835
Tl 2.734 -5.528 0.000
Cd 2.734 0.000 0.000
```

Most stable to least stable, the ends of the list are 2 and 1.

1.
An optimized crystal structure of Sm3Tl2Cd3. Source: Alexandria via LeMat-Bulk, functional PBE.

## Properties
total magnetic moment = 0.000 μB per cell
symmetry = P-62m
DOS(E_F) = 0.862 states/eV per atom

extended XYZ file:
```
8
Lattice="7.641 0.000 0.000 -3.820 6.617 0.000 0.000 0.000 4.430" Properties=species:S:1:pos:R:3 pbc="T T T"
Sm -1.510 2.615 0.000
Sm 3.019 0.000 0.000
Sm 2.311 4.002 0.000
Tl 0.000 4.411 2.215
Tl 3.820 2.206 2.215
Cd -2.955 5.118 2.215
Cd 0.865 1.499 2.215
Cd 5.910 0.000 2.215
```

2.
An optimized crystal structure of Sm3Tl2Cd3. Source: Alexandria via LeMat-Bulk, functional PBE.

## Properties
total magnetic moment = 0.000 μB per cell
symmetry = C2/m
DOS(E_F) = 0.558 states/eV per atom

extended XYZ file:
```
8
Lattice="9.613 -2.280 0.000 9.613 2.280 0.000 -1.351 0.000 4.959" Properties=species:S:1:pos:R:3 pbc="T T T"
Sm 0.000 0.000 0.000
Sm 1.734 0.000 3.132
Sm 16.142 0.000 1.827
Tl 4.315 0.000 1.184
Tl 13.561 0.000 3.775
Cd 6.050 0.000 4.363
Cd 8.938 0.000 2.479
Cd 11.825 0.000 0.595
```

Most stable to least stable, the ends of the list are 1 and 2.

1.
An optimized crystal structure of SmTm4Cd. Source: Alexandria via LeMat-Bulk, functional PBE.

## Properties
total magnetic moment = 0.001 μB per cell
symmetry = C2/c
DOS(E_F) = 1.295 states/eV per atom

extended XYZ file:
```
12
Lattice="3.337 -9.522 0.000 3.337 9.522 0.000 -3.069 0.000 5.665" Properties=species:S:1:pos:R:3 pbc="T T T"
Sm 1.036 7.242 4.249
Sm 2.570 -7.242 1.416
Tm -0.622 4.172 4.299
Tm -0.659 0.724 4.496
Tm 0.876 -0.724 1.664
Tm 0.912 -4.172 1.466
Tm 2.693 4.172 4.199
Tm 2.730 0.724 4.001
Tm 4.264 -0.724 1.169
Tm 4.228 -4.172 1.366
Cd 2.570 2.473 1.416
Cd 1.036 -2.473 4.249
```

2.
An optimized crystal structure of SmTm4Cd. Source: Alexandria via LeMat-Bulk, functional PBE.

## Properties
total magnetic moment = 0.000 μB per cell
symmetry = P4/mmm
DOS(E_F) = 1.439 states/eV per atom

extended XYZ file:
```
6
Lattice="3.533 0.000 0.000 0.000 3.533 0.000 0.000 0.000 14.043" Properties=species:S:1:pos:R:3 pbc="T T T"
Sm 0.000 0.000 0.000
Tm 0.000 0.000 4.965
Tm 0.000 0.000 9.078
Tm 1.766 1.766 2.510
Tm 1.766 1.766 11.533
Cd 1.766 1.766 7.022
```

Most stable to least stable, the ends of the list are 2 and 1.